## Y3ZnC2 (PBE)

Data for an optimized crystal structure of Y3ZnC2.

Cell: 3.6440 3.6440 20.5671 Å, 90.00 90.00 120.00°
Fractional positions:
Y: 0.0000 0.0000 0.0000
Y: 0.0000 0.0000 0.5000
Y: 0.3333 0.6667 0.1338
Y: 0.3333 0.6667 0.3662
Y: 0.6667 0.3333 0.6338
Y: 0.6667 0.3333 0.8662
Zn: 0.0000 0.0000 0.2500
Zn: 0.0000 0.0000 0.7500
C: 0.3333 0.6667 0.5770
C: 0.3333 0.6667 0.9230
C: 0.6667 0.3333 0.0770
C: 0.6667 0.3333 0.4230

## Properties
**Space-group type**: P6_3/mmc (194)
**Raw total energy**: -6.74 eV/atom